[1]
BaZr2Zn2, optimized geometry, DFT PBE; polymorph energy (0 for the lowest one) = 0.0000 eV/atom; crystal system = tetragonal; magnetization = 0.0 μB per cell
1.0
-6.4521 2.4689 -5.1889
-5.5933 -4.4865 4.8204
-0.4774 2.5225 1.7938
Zn Ba Zr
4 2 4
Direct
0.1710 0.6710 0.5000
0.6710 0.8290 0.5000
0.8290 0.3290 0.5000
0.3290 0.1710 0.5000
0.0000 0.0000 0.0000
0.5000 0.5000 0.0000
0.3786 0.8786 0.0000
0.8786 0.6214 0.0000
0.6214 0.1214 0.0000
0.1214 0.3786 0.0000

---

[2]
Ba2Zr2Zn, optimized geometry, DFT PBE; polymorph energy (0 for the lowest one) = 0.0491 eV/atom; crystal system = tetragonal; magnetization = 0.7 μB per cell
1.0
0.5246 -5.6702 2.5047
-5.6682 -0.5300 -2.5082
4.5020 1.5012 -4.0223
Ba Zr Zn
2 2 1
Direct
0.2500 0.7500 0.5000
0.7500 0.2500 0.5000
0.6460 0.6460 0.0000
0.3540 0.3540 0.0000
0.0000 0.0000 0.0000

---

[3]
BaZr2Zn, optimized geometry, DFT PBE; crystal system = monoclinic; magnetization = 0.0 μB per cell
1.0
-5.0815 -4.1272 0.9858
3.8257 -1.8577 -3.5357
1.0928 -2.0897 2.2603
Ba Zn Zr
1 1 2
Direct
0.5000 0.5000 0.0000
0.5000 0.0000 0.5000
0.0000 0.0000 0.0000
0.0000 0.5000 0.5000

---

We obtain E_tot values of -4.24; -3.65; -4.61 eV per atom for the records listed above, in that order.
We obtain DFT formation energy values of 76; 790; 467 meV/atom for the records listed above, in that order.